Record 1
Below is crystalline Fe2ReNiIr at its relaxed geometry, with properties calculated at the GGA-PBE level.

a b c (Å): 4.3621 4.3621 4.4259
angles (deg): 90.00 90.00 90.00
Last column: nearest neighbours and their distance in Å.
Positions (direct):
1 Fe 0.0000 0.5000 0.0000  2 Re 2.18
2 Fe 0.5000 0.0000 0.0000  2 Re 2.18
3 Re 0.0000 0.0000 0.0000  4 Fe 2.18, 2 Ni 2.21
4 Ni 0.0000 0.0000 0.5000  2 Re 2.21
5 Ir 0.5000 0.5000 0.5000  4 Ni 3.08, 8 Fe 3.11

Results
As for the formation energy: 1697 meV/atom.

Record 2
Below is crystalline FeNiIrRh at its relaxed geometry, with properties calculated at the GGA-PBE level.

a b c (Å): 2.6939 3.5591 5.4032
angles (deg): 90.00 90.00 90.00
Last column: nearest neighbours and their distance in Å.
Positions (direct):
1 Fe 0.0000 0.0000 0.0000  4 Ir 2.61, 4 Rh 2.62, 2 Ni 2.67-2.74, 2 Fe 2.69
2 Ni 0.0000 0.0000 0.4936  4 Ir 2.59, 4 Rh 2.61, 2 Fe 2.67-2.74, 2 Ni 2.69
3 Ir 0.5000 0.5000 0.2497  4 Ni 2.59, 4 Fe 2.61, 2 Rh 2.68-2.73, 2 Ir 2.69
4 Rh 0.5000 0.5000 0.7453  4 Ni 2.61, 4 Fe 2.62, 2 Ir 2.68-2.73, 2 Rh 2.69

Results
The value obtained for the energy above the most stable polymorph in this dataset is 0.0 meV per atom. As for the formation energy: -18 meV/atom.

Record 3
Below is crystalline FeNiIrRh at its relaxed geometry, with properties calculated at the GGA-PBE level.

a b c (Å): 4.1979 4.1979 4.1979
angles (deg): 60.00 60.00 60.00
Last column: nearest neighbours and their distance in Å.
Positions (direct):
1 Fe 0.0000 0.0000 0.0000  4 Rh 2.57, 4 Ir 2.57
2 Ni 0.5000 0.5000 0.5000  4 Ir 2.57, 4 Rh 2.57
3 Ir 0.7500 0.7500 0.7500  4 Fe 2.57, 4 Ni 2.57
4 Rh 0.2500 0.2500 0.2500  4 Fe 2.57, 4 Ni 2.57

Results
The value obtained for the energy above the most stable polymorph in this dataset is 59.1 meV per atom. As for the formation energy: 41 meV/atom.

Record 4
Below is crystalline FeNiIr2S at its relaxed geometry, with properties calculated at the GGA-PBE level.

a b c (Å): 4.4563 4.4563 4.2500
angles (deg): 90.00 90.00 90.00
Last column: nearest neighbours and their distance in Å.
Positions (direct):
1 Fe 0.0000 0.0000 0.0000  2 Ni 2.13, 4 Ir 2.23
2 Ni 0.0000 0.0000 0.5000  2 Fe 2.13
3 Ir 0.0000 0.5000 0.0000  2 Fe 2.23
4 Ir 0.5000 0.0000 0.0000  2 Fe 2.23
5 S 0.5000 0.5000 0.5000  8 Ir 3.08, 4 Ni 3.15

Results
For the formation energy from raw total energies, the calculation gives 1.52 eV/atom.

Record 5
Below is crystalline FeNi2SbIr at its relaxed geometry, with properties calculated at the GGA-PBE level.

a b c (Å): 4.6085 4.6085 4.9325
angles (deg): 90.00 90.00 90.00
Last column: nearest neighbours and their distance in Å.
Positions (direct):
1 Fe 0.0000 0.0000 0.0000  4 Sb 3.26, 8 Ni 3.38
2 Ni 0.0000 0.5000 0.5000  2 Ir 2.30
3 Ni 0.5000 0.0000 0.5000  2 Ir 2.30
4 Sb 0.5000 0.5000 0.0000  2 Ir 2.47
5 Ir 0.5000 0.5000 0.5000  4 Ni 2.30, 2 Sb 2.47

Results
For the formation energy from raw total energies, the calculation gives 1.21 eV/atom.

Record 6
Below is crystalline FeSi2NiIr at its relaxed geometry, with properties calculated at the GGA-PBE level.

a b c (Å): 4.5016 4.5016 4.7634
angles (deg): 90.00 90.00 90.00
Last column: nearest neighbours and their distance in Å.
Positions (direct):
1 Fe 0.0000 0.0000 0.0000  4 Ni 3.18, 8 Si 3.28
2 Si 0.0000 0.5000 0.5000  2 Ir 2.25
3 Si 0.5000 0.0000 0.5000  2 Ir 2.25
4 Ni 0.5000 0.5000 0.0000  2 Ir 2.38
5 Ir 0.5000 0.5000 0.5000  4 Si 2.25, 2 Ni 2.38

Results
For the formation energy from raw total energies, the calculation gives 0.89 eV/atom.

| no. | DFT total energy (eV per atom) | magnetization (μB/cell) |
| --- | --- | --- |
| 1 | -7.106 | 3.75 |
| 2 | -7.632 | 2.29 |
| 3 | -7.573 | 2.42 |
| 4 | -5.698 | 2.11 |
| 5 | -5.390 | 5.55 |
| 6 | -5.901 | 4.13 |